1.
# Sc12Ni6Sb, relaxed, DFT PBE
# ΔE_f (raw) ... -0.449 eV/atom
# V ... 742.2 Å³ per cell
# Calculated density ... 4.5 Mg/m³
# VASP energy ... -6.490 eV per atom
data_Sc12Ni6Sb
_cell_length_a 9.054
_cell_length_b 9.054
_cell_length_c 9.054
_cell_angle_alpha 90.00
_cell_angle_beta 90.00
_cell_angle_gamma 90.00
_space_group_name_H-M_alt 'I m -3'
_space_group_IT_number 204
_space_group_name_Hall '-I 2 2 3'
loop_
_atom_site_label
_atom_site_type_symbol
_atom_site_fract_x
_atom_site_fract_y
_atom_site_fract_z
Sc1 Sc 0.000 0.189 0.300
Ni1 Ni 0.000 0.368 0.500
Sb1 Sb 0.000 0.000 0.000



2.
# ScNi2Sb, relaxed, DFT PBE
# ΔE_f (raw) ... -0.260 eV/atom
# V ... 255.1 Å³ per cell
# Calculated density ... 7.4 Mg/m³
# VASP energy ... -5.764 eV per atom
data_ScNi2Sb
_cell_length_a 6.342
_cell_length_b 6.342
_cell_length_c 6.342
_cell_angle_alpha 90.00
_cell_angle_beta 90.00
_cell_angle_gamma 90.00
_space_group_name_H-M_alt 'F -4 3 m'
_space_group_IT_number 216
_space_group_name_Hall 'F -4 2 3'
loop_
_atom_site_label
_atom_site_type_symbol
_atom_site_fract_x
_atom_site_fract_y
_atom_site_fract_z
Sc1 Sc 0.000 0.000 0.000
Ni1 Ni 0.000 0.000 0.500
Ni2 Ni 0.250 0.250 0.250
Sb1 Sb 0.250 0.250 0.750



3.
# ScNiSb2, relaxed, DFT PBE
# ΔE_f (raw) ... -0.139 eV/atom
# V ... 164.9 Å³ per cell
# Calculated density ... 7.0 Mg/m³
# VASP energy ... -5.229 eV per atom
data_ScNiSb2
_cell_length_a 4.635
_cell_length_b 4.635
_cell_length_c 7.676
_cell_angle_alpha 90.00
_cell_angle_beta 90.00
_cell_angle_gamma 90.00
_space_group_name_H-M_alt 'I 4/m m m'
_space_group_IT_number 139
_space_group_name_Hall '-I 4 2'
loop_
_atom_site_label
_atom_site_type_symbol
_atom_site_fract_x
_atom_site_fract_y
_atom_site_fract_z
Sc1 Sc 0.000 0.000 0.000
Ni1 Ni 0.000 0.000 0.500
Sb1 Sb 0.000 0.500 0.250



4.
# Sc4NiSb, relaxed, DFT PBE
# ΔE_f (raw) ... -0.369 eV/atom
# V ... 538.0 Å³ per cell
# Calculated density ... 4.4 Mg/m³
# VASP energy ... -6.240 eV per atom
# Offset from the most stable computed form ... 0.00 kcal/mol of atoms
data_Sc4NiSb
_cell_length_a 14.444
_cell_length_b 5.537
_cell_length_c 7.040
_cell_angle_alpha 90.00
_cell_angle_beta 107.16
_cell_angle_gamma 90.00
_space_group_name_H-M_alt 'C 1 2/c 1'
_space_group_IT_number 15
loop_
_space_group_symop_operation_xyz
'x,y,z'
'-x,-y,-z'
'-x,y,-z+1/2'
'x,-y,z+1/2'
'x+1/2,y+1/2,z'
'-x+1/2,-y+1/2,-z'
'-x+1/2,y+1/2,-z+1/2'
'x+1/2,-y+1/2,z+1/2'
loop_
_atom_site_label
_atom_site_type_symbol
_atom_site_fract_x
_atom_site_fract_y
_atom_site_fract_z
Sc1 Sc 0.081 0.125 0.449
Sc2 Sc 0.181 0.383 0.144
Ni1 Ni 0.250 0.250 0.500
Sb1 Sb 0.000 0.366 0.750



5.
# Sc2NiSb, relaxed, DFT PBE
# ΔE_f (raw) ... -0.529 eV/atom
# V ... 151.5 Å³ per cell
# Calculated density ... 5.9 Mg/m³
# VASP energy ... -6.171 eV per atom
data_Sc2NiSb
_cell_length_a 4.317
_cell_length_b 4.317
_cell_length_c 8.128
_cell_angle_alpha 90.00
_cell_angle_beta 90.00
_cell_angle_gamma 90.00
_space_group_name_H-M_alt 'I 4/m m m'
_space_group_IT_number 139
_space_group_name_Hall '-I 4 2'
loop_
_atom_site_label
_atom_site_type_symbol
_atom_site_fract_x
_atom_site_fract_y
_atom_site_fract_z
Sc1 Sc 0.000 0.500 0.250
Ni1 Ni 0.000 0.000 0.000
Sb1 Sb 0.000 0.000 0.500



6.
# ScNiSb2, relaxed, DFT PBE
# ΔE_f (raw) ... -0.235 eV/atom
# V ... 171.0 Å³ per cell
# Calculated density ... 6.7 Mg/m³
# VASP energy ... -5.325 eV per atom
data_ScNiSb2
_cell_length_a 4.155
_cell_length_b 5.733
_cell_length_c 7.177
_cell_angle_alpha 90.00
_cell_angle_beta 90.00
_cell_angle_gamma 90.00
_space_group_name_H-M_alt 'I m m m'
_space_group_IT_number 71
_space_group_name_Hall '-I 2 2'
loop_
_atom_site_label
_atom_site_type_symbol
_atom_site_fract_x
_atom_site_fract_y
_atom_site_fract_z
Sc1 Sc 0.000 0.000 0.000
Ni1 Ni 0.000 0.000 0.500
Sb1 Sb 0.000 0.500 0.212



7.
# Sc2NiSb, relaxed, DFT PBE
# ΔE_f (raw) ... -0.661 eV/atom
# V ... 162.6 Å³ per cell
# Calculated density ... 5.5 Mg/m³
# VASP energy ... -6.302 eV per atom
data_Sc2NiSb
_cell_length_a 3.999
_cell_length_b 3.876
_cell_length_c 10.493
_cell_angle_alpha 90.00
_cell_angle_beta 90.00
_cell_angle_gamma 90.00
_space_group_name_H-M_alt 'A m m 2'
_space_group_IT_number 38
loop_
_space_group_symop_operation_xyz
'x,y,z'
'-x,-y,z'
'-x,y,z'
'x,-y,z'
'x,y+1/2,z+1/2'
'-x,-y+1/2,z+1/2'
'-x,y+1/2,z+1/2'
'x,-y+1/2,z+1/2'
loop_
_atom_site_label
_atom_site_type_symbol
_atom_site_fract_x
_atom_site_fract_y
_atom_site_fract_z
Sc1 Sc 0.000 0.000 0.000
Sc2 Sc 0.500 0.000 0.299
Ni1 Ni 0.500 0.000 0.549
Sb1 Sb 0.000 0.000 0.715



8.
# ScNi9Sb2, relaxed, DFT PBE
# ΔE_f (raw) ... -0.244 eV/atom
# V ... 154.8 Å³ per cell
# Calculated density ... 8.8 Mg/m³
# VASP energy ... -5.795 eV per atom
# Offset from the most stable computed form ... 0.00 kcal/mol of atoms
data_ScNi9Sb2
_cell_length_a 3.733
_cell_length_b 3.733
_cell_length_c 11.112
_cell_angle_alpha 90.00
_cell_angle_beta 90.00
_cell_angle_gamma 90.00
_space_group_name_H-M_alt 'P 4/m m m'
_space_group_IT_number 123
_space_group_name_Hall '-P 4 2'
loop_
_atom_site_label
_atom_site_type_symbol
_atom_site_fract_x
_atom_site_fract_y
_atom_site_fract_z
Sc1 Sc 0.000 0.000 0.000
Ni1 Ni 0.000 0.500 0.168
Ni2 Ni 0.000 0.500 0.500
Ni3 Ni 0.500 0.500 0.000
Ni4 Ni 0.500 0.500 0.337
Sb1 Sb 0.000 0.000 0.330